A plane-wave DFT calculation with GGA-PBE was carried out for crystalline LiTb6In2 at its relaxed geometry.

Cell lengths 5.105, 7.409, 8.935 Å; angles 114.49, 106.62, 90.00 degrees
Element x y z (fractional)
Tb1 0.836 0.082 0.671
Tb2 0.500 0.247 0.000
Tb3 0.500 0.753 0.000
Tb4 0.164 0.918 0.329
Tb5 0.836 0.589 0.671
Tb6 0.164 0.411 0.329
In1 0.666 0.667 0.333
In2 0.334 0.333 0.667
Li1 0.000 0.000 0.000

**SG**: Immm (71)
**Fermi-level density of states**: 13.692 states/eV/cell
**Energy relative to the elements**: 0.115 eV per atom